VASP calculation (GGA-PBE) on a geometry-optimized SN structure.

Cell lengths 9.1522, 7.6723, 5.8307 Å; angles 84.16, 56.51, 39.33 degrees
Fractional coordinates of all 8 atoms:
S1 0.0174 0.2326 0.0174
S2 0.2326 0.0174 0.2326
S3 0.7674 0.9826 0.7674
S4 0.9826 0.7674 0.9826
N1 0.0454 0.0454 0.2046
N2 0.2046 0.2046 0.0454
N3 0.7954 0.7954 0.9546
N4 0.9546 0.9546 0.7954

ρ, Mg/m³: 1.8
Crystal system: orthorhombic
Energy, eV per atom: -5.525
Space-group type: Fddd

VASP calculation (GGA-PBE) on a geometry-optimized NdYIn2Se4 structure.

Cell lengths 7.3143, 4.2215, 8.0993 Å; angles 90.00, 107.49, 90.00 degrees
Fractional coordinates of all 8 atoms:
Nd1 0.0000 0.0000 0.0000
Y1 0.5000 0.5000 0.0000
In1 0.0000 0.5000 0.5000
In2 0.5000 0.0000 0.5000
Se1 0.2453 0.5000 0.2142
Se2 0.2704 0.0000 0.7896
Se3 0.7296 0.0000 0.2104
Se4 0.7547 0.5000 0.7858

ρ, Mg/m³: 5.4
Crystal system: monoclinic
Energy, eV per atom: -5.128
Space-group type: P2/m

VASP calculation (GGA-PBE) on a geometry-optimized PuB2C structure.

Cell lengths 5.2371, 5.2371, 5.2371 Å; angles 77.73, 77.73, 77.73 degrees
Fractional coordinates of all 12 atoms:
Pu1 0.0000 0.0000 0.0000
Pu2 0.3117 0.3117 0.3117
Pu3 0.6883 0.6883 0.6883
B1 0.2272 0.5000 0.7728
B2 0.2272 0.7728 0.5000
B3 0.5000 0.2272 0.7728
B4 0.5000 0.7728 0.2272
B5 0.7728 0.2272 0.5000
B6 0.7728 0.5000 0.2272
C1 0.0000 0.0000 0.5000
C2 0.0000 0.5000 0.0000
C3 0.5000 0.0000 0.0000

ρ, Mg/m³: 10.2
Formation energy from the elements, meV/atom: -367
Crystal system: trigonal
Energy, eV per atom: -9.595
Space-group type: R-3m

VASP calculation (GGA-PBE) on a geometry-optimized MgTe2Pt structure.

Cell lengths 5.0333, 5.0333, 5.0237 Å; angles 110.97, 110.97, 106.31 degrees
Fractional coordinates of all 4 atoms:
Mg1 0.0000 0.0000 0.0000
Te1 0.0000 0.5000 0.5000
Te2 0.5000 0.0000 0.5000
Pt1 0.5000 0.5000 0.0000

ρ, Mg/m³: 8.0
Crystal system: monoclinic
Energy, eV per atom: -3.753
Space-group type: C2/m

VASP calculation (GGA-PBE) on a geometry-optimized Pr5ScSn4 structure.

Cell lengths 9.9394, 9.9394, 9.6245 Å; angles 105.57, 105.57, 21.88 degrees
Fractional coordinates of all 10 atoms:
Pr1 0.0000 0.0000 0.0000
Pr2 0.3311 0.3311 0.1398
Pr3 0.3310 0.3310 0.6788
Pr4 0.6690 0.6690 0.3212
Pr5 0.6689 0.6689 0.8602
Sc1 0.0000 0.0000 0.5000
Sn1 0.1612 0.1612 0.5868
Sn2 0.4998 0.4998 0.2627
Sn3 0.5002 0.5002 0.7373
Sn4 0.8388 0.8388 0.4132

ρ, Mg/m³: 6.0
Formation energy from the elements, meV/atom: -340
Crystal system: monoclinic
Energy, eV per atom: -4.964
Space-group type: C2/m

VASP calculation (GGA-PBE) on a geometry-optimized ZrTi2Bi2 structure.

Cell lengths 7.8230, 7.8230, 3.6385 Å; angles 90.00, 90.00, 90.00 degrees
Fractional coordinates of all 10 atoms:
Zr1 0.0000 0.0000 0.0000
Zr2 0.5000 0.5000 0.0000
Ti1 0.1240 0.3760 0.0000
Ti2 0.3760 0.8760 0.0000
Ti3 0.6240 0.1240 0.0000
Ti4 0.8760 0.6240 0.0000
Bi1 0.1728 0.6728 0.5000
Bi2 0.3272 0.1728 0.5000
Bi3 0.6728 0.8272 0.5000
Bi4 0.8272 0.3272 0.5000

ρ, Mg/m³: 9.0
Formation energy from the elements, meV/atom: 24
Crystal system: tetragonal
Energy, eV per atom: -6.396
Space-group type: P4/mbm
E above lowest polymorph, meV per atom: 121